# 1
Density functional theory data (GGA-PBE) for a relaxed structure of AuI2Br4.

Unit cell a=7.7374 b=7.7374 c=7.5789 alpha=105.99 beta=105.99 gamma=108.32
Closest atoms and distances in Å follow each position.
Fractional coordinates of all 7 atoms:
Au 0.0000 0.0000 0.0000  3 Br 2.41-2.52
I 0.3117 0.7437 0.5173  2 Br 2.73-2.78
I 0.7437 0.3117 0.5173  2 Br 2.73-2.78
Br 0.2189 0.9317 0.8233  1 Au 2.52, 1 I 2.78
Br 0.5317 0.5317 0.5658  2 I 2.73
Br 0.9317 0.2189 0.8233  1 Au 2.52, 1 I 2.78
Br 0.9581 0.9581 0.2911  1 Au 2.41

Summary:
E_form (uncorrected) = 0.09 eV per atom
Calculated total energy = -12.467 eV/f.u.
Calculated volume = 380 Å³/cell
Symmetry = No. 8
Total magnetic moment = 0.0 μB per formula unit

---

# 2
Density functional theory data (GGA-PBE) for a relaxed structure of Au3I2Br4.

Unit cell a=9.9322 b=9.9322 c=8.2359 alpha=108.71 beta=108.71 gamma=99.74
Closest atoms and distances in Å follow each position.
Fractional coordinates of all 18 atoms:
Au 0.1412 0.8588 0.7500  2 I 2.65, 2 Br 2.83
Au 0.2859 0.4676 0.3906  3 Br 2.50-2.62, 1 I 2.68
Au 0.4676 0.2859 0.8906  3 Br 2.50-2.62, 1 I 2.68
Au 0.5324 0.7141 0.1094  3 Br 2.50-2.62, 1 I 2.68
Au 0.7141 0.5324 0.6094  3 Br 2.50-2.62, 1 I 2.68
Au 0.8588 0.1412 0.2500  2 I 2.65, 2 Br 2.83
I 0.0534 0.2359 0.1231  2 Au 2.65-2.68
I 0.2359 0.0534 0.6231  2 Au 2.65-2.68
I 0.7641 0.9466 0.3769  2 Au 2.65-2.68
I 0.9466 0.7641 0.8769  2 Au 2.65-2.68
Br 0.1246 0.6343 0.4220  1 Au 2.50
Br 0.3129 0.4683 0.8796  2 Au 2.57-2.62
Br 0.3657 0.8754 0.0780  1 Au 2.50
Br 0.4683 0.3129 0.3796  2 Au 2.57-2.62
Br 0.5317 0.6871 0.6204  2 Au 2.57-2.62
Br 0.6343 0.1246 0.9220  1 Au 2.50
Br 0.6871 0.5317 0.1204  2 Au 2.57-2.62
Br 0.8754 0.3657 0.5780  1 Au 2.50

Summary:
E_form (uncorrected) = -0.08 eV per atom
Calculated total energy = -20.312 eV/f.u.
Calculated volume = 694 Å³/cell
Symmetry = No. 15
Total magnetic moment = 0.0 μB per formula unit

---

# 3
Density functional theory data (GGA-PBE) for a relaxed structure of Au2I6Br.

Unit cell a=5.0619 b=9.0966 c=9.1918 alpha=91.82 beta=98.35 gamma=90.35
Closest atoms and distances in Å follow each position.
Fractional coordinates of all 9 atoms:
Au 0.1135 0.3605 0.3431  4 I 2.68-2.80
Au 0.8865 0.6395 0.6569  4 I 2.68-2.80
I 0.0993 0.0680 0.2986  1 Au 2.68, 1 Br 2.77
I 0.1296 0.6562 0.4030  2 Au 2.73-2.80
I 0.3858 0.4037 0.1126  1 Au 2.73
I 0.6142 0.5963 0.8874  1 Au 2.73
I 0.8704 0.3438 0.5970  2 Au 2.73-2.80
I 0.9007 0.9320 0.7014  1 Au 2.68, 1 Br 2.77
Br 0.0000 0.0000 0.0000  2 I 2.77

Summary:
E_form (uncorrected) = -0.02 eV per atom
Calculated total energy = -17.716 eV/f.u.
Polymorph energy (0 for the lowest one) = 0 meV/atom
Calculated volume = 419 Å³/cell
Symmetry = No. 2
Total magnetic moment = 0.0 μB per formula unit

---

# 4
Density functional theory data (GGA-PBE) for a relaxed structure of Au2I4Br.

Unit cell a=8.0932 b=8.1021 c=11.8512 alpha=95.45 beta=95.75 gamma=115.30
Closest atoms and distances in Å follow each position.
Fractional coordinates of all 14 atoms:
Au 0.0000 0.0000 0.0000  2 I 2.63
Au 0.0000 0.0000 0.5000  2 I 2.63
Au 0.0000 0.5000 0.0000  4 I 2.75-2.78
Au 0.5000 0.0000 0.5000  4 I 2.75-2.77
I 0.1660 0.8023 0.5694  2 Au 2.63-2.75
I 0.1897 0.3318 0.8918  2 Au 2.78-2.96, 1 Br 2.89
I 0.2001 0.8359 0.9336  2 Au 2.63-2.75
I 0.3311 0.1898 0.3925  2 Au 2.77-2.95, 1 Br 2.91
I 0.6689 0.8102 0.6075  2 Au 2.77-2.95, 1 Br 2.91
I 0.7999 0.1641 0.0664  2 Au 2.63-2.75
I 0.8103 0.6682 0.1082  2 Au 2.78-2.96, 1 Br 2.89
I 0.8340 0.1977 0.4306  2 Au 2.63-2.75
Br 0.4276 0.5718 0.7501  2 I 2.89-2.91
Br 0.5724 0.4282 0.2499  2 I 2.89-2.91

Summary:
E_form (uncorrected) = -0.04 eV per atom
Calculated total energy = -14.722 eV/f.u.
Polymorph energy (0 for the lowest one) = 0 meV/atom
Calculated volume = 691 Å³/cell
Symmetry = No. 2
Total magnetic moment = 0.0 μB per formula unit

---

# 5
Density functional theory data (GGA-PBE) for a relaxed structure of AuI3Br.

Unit cell a=5.8718 b=5.8718 c=5.8718 alpha=90.00 beta=90.00 gamma=90.00
Closest atoms and distances in Å follow each position.
Fractional coordinates of all 5 atoms:
Au 0.0000 0.0000 0.0000  12 I 4.15
I 0.0000 0.5000 0.5000  2 Br 2.94
I 0.5000 0.0000 0.5000  2 Br 2.94
I 0.5000 0.5000 0.0000  2 Br 2.94
Br 0.5000 0.5000 0.5000  6 I 2.94

Summary:
E_form (uncorrected) = 0.71 eV per atom
Calculated total energy = -6.038 eV/f.u.
Polymorph energy (0 for the lowest one) = 670 meV/atom
Calculated volume = 202 Å³/cell
Symmetry = No. 221
Total magnetic moment = 0.0 μB per formula unit

---

# 6
Density functional theory data (GGA-PBE) for a relaxed structure of Au2IBr3.

Unit cell a=3.7321 b=10.5042 c=11.8399 alpha=85.31 beta=89.76 gamma=89.45
Closest atoms and distances in Å follow each position.
Fractional coordinates of all 12 atoms:
Au 0.2358 0.2966 0.0615  4 Br 2.57-2.58
Au 0.2417 0.7984 0.3919  2 Br 2.55-2.56, 1 I 2.56
Au 0.7583 0.2016 0.6081  2 Br 2.55-2.56, 1 I 2.56
Au 0.7642 0.7034 0.9385  4 Br 2.57-2.58
I 0.2367 0.0335 0.3143  1 Au 2.56
I 0.7633 0.9665 0.6857  1 Au 2.56
Br 0.2547 0.3617 0.5555  2 Au 2.55-2.56
Br 0.2601 0.8054 0.0507  2 Au 2.57-2.58
Br 0.2683 0.5981 0.8284  2 Au 2.58
Br 0.7317 0.4019 0.1716  2 Au 2.58
Br 0.7399 0.1946 0.9493  2 Au 2.57-2.58
Br 0.7453 0.6383 0.4445  2 Au 2.55-2.56

Summary:
E_form (uncorrected) = -0.03 eV per atom
Calculated total energy = -13.315 eV/f.u.
Polymorph energy (0 for the lowest one) = 0 meV/atom
Calculated volume = 463 Å³/cell
Symmetry = No. 2
Total magnetic moment = 0.0 μB per formula unit

---

- calculated volume of number 4 (Au2I4Br)?
  691 Å³/cell